Entry from OQMD: a relaxed Zr3ScC crystal (PBE-GGA).

```
Zr3ScC
1.0
4.642 0.000 0.000
0.000 4.642 0.000
0.000 0.000 4.642
C Sc Zr
1 1 3
direct
0.500 0.500 0.500 C
0.000 0.000 0.000 Sc
0.500 0.500 0.000 Zr
0.500 0.000 0.500 Zr
0.000 0.500 0.500 Zr
```

Computed properties:
As for the symmetry: Pm-3m (221). The value obtained for the size of the total moment is 0.017 μB per formula unit. For the volume, the calculation gives 20.0 A^3/atom. For the uncorrected energy, the calculation gives -0.625 Ry/atom.